A plane-wave DFT calculation with GGA-PBE was carried out for Sm8Pd2Ru3 after structural relaxation.

## Properties
crystal system: orthorhombic
formation energy: -0.377 eV per atom
DOS at the Fermi energy: 0.39 states/eV per atom

a b c (Å): 4.930 9.870 8.600
angles (deg): 125.02 90.00 90.00
Sites, in units of the cell vectors:
Sm (0.500, 0.130, 0.762)
Ru (0.000, 0.751, 0.000)
Sm (0.500, 0.633, 0.763)
Sm (0.000, 0.382, 0.764)
Sm (0.500, 0.870, 0.238)
Pd (0.500, 0.250, 0.500)
Sm (0.000, 0.879, 0.759)
Ru (0.500, 0.000, 0.000)
Sm (0.500, 0.367, 0.237)
Sm (0.000, 0.618, 0.236)
Sm (0.000, 0.121, 0.241)
Ru (0.000, 0.249, 0.000)
Pd (0.500, 0.750, 0.500)


A plane-wave DFT calculation with GGA-PBE was carried out for PmZn3Co after structural relaxation.

## Properties
crystal system: orthorhombic
excess energy over the best structure of this formula in the dataset: 0 meV per atom
formation energy: -0.179 eV per atom
DOS at the Fermi energy: 0.67 states/eV per atom

a b c (Å): 5.463 7.086 6.459
angles (deg): 123.26 115.02 90.00
Site moments in Bohr magnetons follow the coordinates.
Sites, in units of the cell vectors:
Pm (0.154, 0.562, 0.498)  -0.01
Zn (0.654, 0.562, 0.998)  -0.01
Zn (0.654, 0.253, 0.498)  -0.01
Co (0.782, 0.691, 0.756)  0.96
Zn (0.654, 0.871, 0.498)  -0.01
Pm (0.154, 0.062, 0.498)  0.05
Zn (0.654, 0.062, 0.998)  -0.01
Zn (0.154, 0.062, 0.998)  -0.01
Zn (0.154, 0.562, 0.998)  -0.01
Co (0.525, 0.433, 0.241)  0.96


A plane-wave DFT calculation with GGA-PBE was carried out for Mg3AlSb after structural relaxation.

## Properties
crystal system: cubic
excess energy over the best structure of this formula in the dataset: 139 meV per atom
DOS at the Fermi energy: 0.80 states/eV per atom

a b c (Å): 5.376 5.376 5.376
angles (deg): 90.00 90.00 90.00
Sites, in units of the cell vectors:
Mg (0.500, 0.000, 0.000)
Mg (0.000, 0.500, 0.000)
Al (0.500, 0.500, 0.500)
Sb (0.000, 0.000, 0.000)
Mg (0.000, 0.000, 0.500)


A plane-wave DFT calculation with GGA-PBE was carried out for TbPr4Cd3 after structural relaxation.

## Properties
crystal system: orthorhombic
formation energy: -0.195 eV per atom
DOS at the Fermi energy: 1.47 states/eV per atom

a b c (Å): 3.825 5.607 11.321
angles (deg): 90.00 90.00 90.00
Sites, in units of the cell vectors:
Tb (0.500, 0.500, 0.000)
Pr (0.000, 0.500, 0.262)
Pr (0.000, 0.000, 0.000)
Pr (0.000, 0.500, 0.738)
Pr (0.000, 0.000, 0.500)
Cd (0.500, 0.500, 0.500)
Cd (0.500, 0.000, 0.246)
Cd (0.500, 0.000, 0.754)


A plane-wave DFT calculation with GGA-PBE was carried out for Ta2IrBr after structural relaxation.

## Properties
crystal system: monoclinic
excess energy over the best structure of this formula in the dataset: 217 meV per atom
DOS at the Fermi energy: 0.38 states/eV per atom

a b c (Å): 4.879 2.956 4.884
angles (deg): 89.35 90.00 90.00
Sites, in units of the cell vectors:
Ta (0.000, 0.906, 0.975)
Ta (0.500, 0.365, 0.283)
Ir (0.500, 0.857, 0.766)
Br (0.000, 0.372, 0.476)


A plane-wave DFT calculation with GGA-PBE was carried out for ZrCuMo3 after structural relaxation.

## Properties
crystal system: cubic
excess energy over the best structure of this formula in the dataset: 0 meV per atom
formation energy: 1.278 eV per atom
DOS at the Fermi energy: 1.73 states/eV per atom

a b c (Å): 4.564 4.564 4.564
angles (deg): 90.00 90.00 90.00
Sites, in units of the cell vectors:
Mo (0.000, 0.500, 0.000)
Mo (0.000, 0.000, 0.500)
Zr (0.500, 0.500, 0.500)
Mo (0.500, 0.000, 0.000)
Cu (0.000, 0.000, 0.000)


A plane-wave DFT calculation with GGA-PBE was carried out for Nb2Co4Si after structural relaxation.

## Properties
crystal system: tetragonal
electronic total energy: -50.354 eV per formula unit
DOS at the Fermi energy: 0.95 states/eV per atom

a b c (Å): 3.983 3.983 7.116
angles (deg): 73.75 73.75 90.00
Sites, in units of the cell vectors:
Co (0.000, 0.500, 0.000)
Nb (0.338, 0.338, 0.325)
Co (0.500, 0.000, 0.000)
Nb (0.662, 0.662, 0.675)
Si (0.000, 0.000, 0.000)
Co (0.836, 0.836, 0.328)
Co (0.164, 0.164, 0.672)


A plane-wave DFT calculation with GGA-PBE was carried out for NaYSc2Sb after structural relaxation.

## Properties
crystal system: tetragonal
electronic total energy: -21.189 eV per formula unit
DOS at the Fermi energy: 1.60 states/eV per atom

a b c (Å): 5.114 5.114 5.390
angles (deg): 90.00 90.00 90.00
Site moments in Bohr magnetons follow the coordinates.
Sites, in units of the cell vectors:
Y (0.000, 0.000, 0.500)  0.10
Sb (0.500, 0.500, 0.500)  0.00
Sc (0.000, 0.500, 0.000)  0.23
Sc (0.500, 0.000, 0.000)  0.23
Na (0.000, 0.000, 0.000)  0.03


So what do the calculations give for calculated volume? Going down the list: 342.8 180.4 155.4 242.8 70.4 95.1 103.7 140.9 Å³ per cell.